PrSiO3, relaxed, DFT PBE-GGA; formation energy from raw total energies = -2.73 eV/atom; space-group type = P2_1/m; electronic total energy = -7.74 eV/atom; theoretical density = 5.24 g cm⁻³
1.0
4.016 0.000 0.000
0.000 5.554 0.000
-1.443 0.000 6.169
Pr Si O
2 2 6
Direct
0.167 0.250 0.293
0.833 0.750 0.707
0.410 0.250 0.827
0.590 0.750 0.173
0.164 0.750 0.075
0.310 0.014 0.663
0.310 0.486 0.663
0.690 0.514 0.337
0.690 0.986 0.337
0.836 0.250 0.925


CuTe2As, relaxed, DFT PBE-GGA; formation energy from raw total energies = 0.15 eV/atom; space-group type = P2/m; electronic total energy = -3.61 eV/atom; theoretical density = 6.68 g cm⁻³
1.0
3.091 0.000 0.000
0.000 3.975 0.000
-0.473 0.000 7.965
Cu Te As
1 2 1
Direct
0.000 0.000 0.000
0.038 0.500 0.773
0.962 0.500 0.227
0.000 0.000 0.500


PbS2N2, relaxed, DFT PBE-GGA; formation energy from raw total energies = 2.02 eV/atom; space-group type = P4/mmm; electronic total energy = -3.70 eV/atom; energy above the lowest structure with this stoichiometry = 665 meV per atom; theoretical density = 4.76 g cm⁻³
1.0
4.316 0.000 0.000
0.000 4.316 0.000
0.000 0.000 5.602
Pb S N
1 2 2
Direct
0.000 0.000 0.000
0.000 0.000 0.500
0.500 0.500 0.500
0.000 0.500 0.000
0.500 0.000 0.000


Please write out number 2 again, unchanged.
CuTe2As, relaxed, DFT PBE-GGA; formation energy from raw total energies = 0.15 eV/atom; space-group type = P2/m; electronic total energy = -3.61 eV/atom; theoretical density = 6.68 g cm⁻³
1.0
3.091 0.000 0.000
0.000 3.975 0.000
-0.473 0.000 7.965
Cu Te As
1 2 1
Direct
0.000 0.000 0.000
0.038 0.500 0.773
0.962 0.500 0.227
0.000 0.000 0.500